Computed, not measured: a relaxed Te2OsPt crystal at the PBEsol level of DFT.

Computed properties:
size of the total moment: 0.0 μB per cell
Fermi-level density of states: 0.721 states/eV/atom
raw total energy: -6.201 eV per atom
uncorrected formation energy: 357 meV per atom

a = 3.172 Å, b = 3.172 Å, c = 8.059 Å
α = 90.00°, β = 90.00°, γ = 90.00°
Space group P4mm (No. 99)
Unique sites:
Te (0.000, 0.000, 0.000) (multiplicity 1)
Te (0.500, 0.500, 0.385) (multiplicity 1)
Os (0.000, 0.000, 0.568) (multiplicity 1)
Pt (0.500, 0.500, 0.797) (multiplicity 1)

Computed, not measured: a relaxed Te3OsPt crystal at the PBEsol level of DFT.

Computed properties:
size of the total moment: 0.0 μB per cell
Fermi-level density of states: 1.566 states/eV/atom
raw total energy: -4.762 eV per atom
uncorrected formation energy: 1189 meV per atom

a = 5.074 Å, b = 5.074 Å, c = 5.074 Å
α = 90.00°, β = 90.00°, γ = 90.00°
Space group Pm-3m (No. 221)
Unique sites:
Te (0.000, 0.000, 0.500) (multiplicity 3)
Os (0.000, 0.000, 0.000) (multiplicity 1)
Pt (0.500, 0.500, 0.500) (multiplicity 1)

Computed, not measured: a relaxed TeOsPt2 crystal at the PBEsol level of DFT.

Computed properties:
size of the total moment: 0.0 μB per cell
Fermi-level density of states: 1.041 states/eV/atom
raw total energy: -6.956 eV per atom
uncorrected formation energy: 461 meV per atom

a = 3.939 Å, b = 3.939 Å, c = 4.182 Å
α = 90.00°, β = 90.00°, γ = 90.00°
Space group P4/mmm (No. 123)
Unique sites:
Te (0.000, 0.000, 0.000) (multiplicity 1)
Os (0.500, 0.500, 0.000) (multiplicity 1)
Pt (0.000, 0.500, 0.500) (multiplicity 2)

Computed, not measured: a relaxed TeOsPt2 crystal at the PBEsol level of DFT.

Computed properties:
size of the total moment: 0.0 μB per cell
Fermi-level density of states: 1.705 states/eV/atom
raw total energy: -6.846 eV per atom
uncorrected formation energy: 571 meV per atom

a = 3.962 Å, b = 3.962 Å, c = 8.337 Å
α = 90.00°, β = 90.00°, γ = 90.00°
Space group I4/mmm (No. 139)
Unique sites:
Te (0.000, 0.000, 0.000) (multiplicity 2)
Os (0.000, 0.000, 0.500) (multiplicity 2)
Pt (0.000, 0.500, 0.250) (multiplicity 4)

Computed, not measured: a relaxed Te2OsPt crystal at the PBEsol level of DFT.

Computed properties:
size of the total moment: 1.0 μB per cell
Fermi-level density of states: 1.151 states/eV/atom
raw total energy: -6.284 eV per atom
uncorrected formation energy: 274 meV per atom

a = 3.872 Å, b = 3.968 Å, c = 12.372 Å
α = 90.00°, β = 90.00°, γ = 90.00°
Space group Immm (No. 71)
Unique sites:
Te (0.000, 0.000, 0.146) (multiplicity 4)
Os (0.000, 0.500, 0.500) (multiplicity 2)
Pt (0.000, 0.500, 0.000) (multiplicity 2)

Computed, not measured: a relaxed TeOsPt2 crystal at the PBEsol level of DFT.

Computed properties:
size of the total moment: 0.0 μB per cell
Fermi-level density of states: 1.021 states/eV/atom
raw total energy: -6.960 eV per atom
uncorrected formation energy: 457 meV per atom

a = 6.394 Å, b = 6.394 Å, c = 6.394 Å
α = 90.00°, β = 90.00°, γ = 90.00°
Space group F-43m (No. 216)
Unique sites:
Te (0.000, 0.000, 0.000) (multiplicity 4)
Os (0.250, 0.250, 0.750) (multiplicity 4)
Pt (0.000, 0.000, 0.500) (multiplicity 4)
Pt (0.250, 0.250, 0.250) (multiplicity 4)

- The lowest Fermi-level density of states belongs to which entry?
  number 1